(1)
Entry from Alexandria: an optimized crystal structure of ScInHg (GGA-PBEsol).

total moment = 0.0001 μB/atom
volume = 21.31 A^3/atom
symmetry = P3m1, No. 156
energy relative to the lowest polymorph listed for this composition = 0.006 eV per atom
calculated formation energy = -0.40 eV/atom

abc: 4.767 4.767 3.248
angles: 90.00 90.00 120.00
Element x y z (fractional)
Sc 0.000 0.000 0.000
In 0.667 0.333 0.501
Hg 0.333 0.667 0.498

***

(2)
Entry from Alexandria: an optimized crystal structure of Be2TlCd (GGA-PBEsol).

total moment = 0.0000 μB/atom
volume = 16.56 A^3/atom
symmetry = Pmmm, No. 47
energy relative to the lowest polymorph listed for this composition = 0.053 eV per atom
calculated formation energy = 0.63 eV/atom

abc: 2.880 3.821 6.020
angles: 90.00 90.00 90.00
Element x y z (fractional)
Be 0.000 0.000 0.196
Be 0.000 0.000 0.804
Tl 0.500 0.500 0.500
Cd 0.500 0.500 0.000

***

(3)
Entry from Alexandria: an optimized crystal structure of ZrMnBe (GGA-PBEsol).

total moment = 0.3724 μB/atom
volume = 15.63 A^3/atom
symmetry = F-43m, No. 216
calculated formation energy = 0.67 eV/atom

abc: 4.048 4.048 4.048
angles: 60.00 60.00 60.00
Element x y z (fractional)
Zr 0.000 0.000 0.000
Mn 0.750 0.750 0.750
Be 0.500 0.500 0.500

***

(4)
Entry from Alexandria: an optimized crystal structure of KBaMo3 (GGA-PBEsol).

total moment = 0.2533 μB/atom
volume = 25.74 A^3/atom
symmetry = Pm-3m, No. 221
calculated formation energy = 3.08 eV/atom

abc: 5.049 5.049 5.049
angles: 90.00 90.00 90.00
Element x y z (fractional)
K 0.000 0.000 0.000
Ba 0.500 0.500 0.500
Mo 0.000 0.500 0.500
Mo 0.500 0.000 0.500
Mo 0.500 0.500 0.000

***

Please write out number 3 again, unchanged.
Entry from Alexandria: an optimized crystal structure of ZrMnBe (GGA-PBEsol).

total moment = 0.3724 μB/atom
volume = 15.63 A^3/atom
symmetry = F-43m, No. 216
calculated formation energy = 0.67 eV/atom

abc: 4.048 4.048 4.048
angles: 60.00 60.00 60.00
Element x y z (fractional)
Zr 0.000 0.000 0.000
Mn 0.750 0.750 0.750
Be 0.500 0.500 0.500

***

> total moment of number 3 (ZrMnBe)?

0.3724 μB/atom

***

> The lowest volume belongs to which entry?

ZrMnBe